The following is a PBE calculation of a relaxed BeFeBr crystal, from Alexandria.

Values from the calculation:
Distance to the lowest polymorph of the same formula (eV per atom): 0.000
Space-group type: Cm
N(E_F) (states/eV/cell): 1.75
Uncorrected formation energy (kcal/mol of atoms): 10.71
Total moment (μB/f.u.): 2.44

abc: 4.7829 5.8202 5.8202
angles: 147.52 145.41 50.74
Closest atoms and distances in Å follow each position.
Fractional coordinates of all 3 atoms:
Fe: 0.3119 0.4060 0.9058  4 Be 2.32, 3 Br 2.54
Br: 0.8783 0.6890 0.1894  3 Fe 2.54, 2 Be 2.55-2.56
Be: 0.8098 0.9050 0.9048  4 Fe 2.32, 2 Br 2.55-2.56


The following is a PBE calculation of a relaxed BeFe4Br crystal, from Alexandria.

Values from the calculation:
Space-group type: F-43m
N(E_F) (states/eV/cell): 6.16
Uncorrected formation energy (kcal/mol of atoms): 16.38
Total moment (μB/f.u.): 10.34

abc: 4.9162 4.9162 4.9162
angles: 60.00 60.00 60.00
Closest atoms and distances in Å follow each position.
Fractional coordinates of all 6 atoms:
Be: 0.7500 0.7500 0.7500  12 Fe 2.88, 4 Br 3.01
Fe: 0.3771 0.3771 0.8688  6 Fe 2.42-2.50
Fe: 0.8688 0.3771 0.3771  6 Fe 2.42-2.50
Fe: 0.3771 0.8688 0.3771  6 Fe 2.42-2.50
Fe: 0.3771 0.3771 0.3771  6 Fe 2.42-2.50
Br: 0.0000 0.0000 0.0000  12 Fe 2.89, 4 Be 3.01